(1)
Below is a relaxed UPa2Se8 crystal, with properties calculated at the PBE-GGA level.

a = 9.5163 Å, b = 9.5163 Å, c = 6.7707 Å
α = 106.24°, β = 106.24°, γ = 27.09°
Sites, in units of the cell vectors:
U  0.0000  0.0000  0.0000
Pa  0.3200  0.3200  0.3076
Pa  0.6800  0.6800  0.6924
Se  0.0928  0.0928  0.4292
Se  0.1653  0.1653  0.9748
Se  0.2783  0.2783  0.6766
Se  0.4652  0.4652  0.2092
Se  0.5348  0.5348  0.7908
Se  0.7217  0.7217  0.3234
Se  0.8347  0.8347  0.0252
Se  0.9072  0.9072  0.5708

Summary:
The total energy is -69.4 eV/f.u. Its space-group type is No. 12. For the uncorrected formation energy, the calculation gives -1.02 eV per atom. As for the density of states at the Fermi level: 0.7721 states/eV per atom. The value obtained for the calculated density is 8.27 g/cm³. The total moment is 0.067 μB/atom.

***

(2)
Below is a relaxed UPa6Se8 crystal, with properties calculated at the PBE-GGA level.

a = 8.0865 Å, b = 8.0865 Å, c = 8.0865 Å
α = 60.00°, β = 60.00°, γ = 60.00°
Sites, in units of the cell vectors:
U  0.0000  0.0000  0.0000
Pa  0.0000  0.0000  0.5000
Pa  0.0000  0.5000  0.0000
Pa  0.0000  0.5000  0.5000
Pa  0.5000  0.0000  0.0000
Pa  0.5000  0.0000  0.5000
Pa  0.5000  0.5000  0.0000
Se  0.2500  0.2500  0.2500
Se  0.2607  0.2607  0.7393
Se  0.2607  0.7393  0.2607
Se  0.2607  0.7393  0.7393
Se  0.7393  0.2607  0.2607
Se  0.7393  0.2607  0.7393
Se  0.7393  0.7393  0.2607
Se  0.7500  0.7500  0.7500

Summary:
The total energy is -114.7 eV/f.u. Its space-group type is No. 225. For the uncorrected formation energy, the calculation gives -1.24 eV per atom. As for the density of states at the Fermi level: 2.0762 states/eV per atom. The value obtained for the calculated density is 10.02 g/cm³. The total moment is 0.249 μB/atom.

***

(3)
Below is a relaxed U4PaSe6 crystal, with properties calculated at the PBE-GGA level.

a = 8.1171 Å, b = 8.1171 Å, c = 8.1171 Å
α = 90.70°, β = 90.70°, γ = 90.70°
Sites, in units of the cell vectors:
U  0.1420  0.7500  0.3580
U  0.2500  0.2500  0.2500
U  0.2500  0.6420  0.8580
U  0.3580  0.1420  0.7500
U  0.6420  0.8580  0.2500
U  0.7500  0.3580  0.1420
U  0.7500  0.7500  0.7500
U  0.8580  0.2500  0.6420
Pa  0.0000  0.0000  0.0000
Pa  0.5000  0.5000  0.5000
Se  0.0609  0.9132  0.6702
Se  0.0868  0.3298  0.9391
Se  0.1702  0.4132  0.5609
Se  0.3298  0.9391  0.0868
Se  0.4132  0.5609  0.1702
Se  0.4391  0.8298  0.5868
Se  0.5609  0.1702  0.4132
Se  0.5868  0.4391  0.8298
Se  0.6702  0.0609  0.9132
Se  0.8298  0.5868  0.4391
Se  0.9132  0.6702  0.0609
Se  0.9391  0.0868  0.3298

Summary:
The total energy is -85.7 eV/f.u. Its space-group type is No. 167. For the uncorrected formation energy, the calculation gives -0.92 eV per atom. As for the density of states at the Fermi level: 2.4218 states/eV per atom. The value obtained for the calculated density is 10.29 g/cm³. The total moment is 1.284 μB/atom.